No. 1
Li2CuRu: optimized geometry, GGA-PBE.

Cell lengths 2.463, 4.156, 5.200 Å; angles 90.00, 90.00, 90.00 degrees
Space group Pmmm (No. 47)
One atom of each set of equivalent atoms:
Li 0.000 0.000 0.242
Cu 0.500 0.500 0.500
Ru 0.500 0.500 0.000

The value obtained for the total energy is -0.15210 hartree per atom. Its total magnetization is 0.000 μB per formula unit. The energy of formation is 0.16 eV/atom.


No. 2
Li2CuRu: optimized geometry, GGA-PBE.

Cell lengths 2.481, 4.436, 4.744 Å; angles 90.00, 92.78, 90.00 degrees
Space group P2/m (No. 10)
One atom of each set of equivalent atoms:
Li 0.194 0.000 0.239
Cu 0.000 0.500 0.500
Ru 0.500 0.500 0.000

The value obtained for the total energy is -0.15517 hartree per atom. Its total magnetization is 0.063 μB per formula unit. The energy of formation is 0.08 eV/atom.


No. 3
Li2CuRu: optimized geometry, GGA-PBE.

Cell lengths 5.826, 5.826, 5.826 Å; angles 90.00, 90.00, 90.00 degrees
Space group Fm-3m (No. 225)
One atom of each set of equivalent atoms:
Li 0.250 0.250 0.250
Cu 0.000 0.000 0.000
Ru 0.000 0.000 0.500

The value obtained for the total energy is -0.14454 hartree per atom. Its total magnetization is 0.922 μB per formula unit. The energy of formation is 0.37 eV/atom.


No. 4
LiCu3Ru: optimized geometry, GGA-PBE.

Cell lengths 3.973, 3.973, 3.973 Å; angles 90.00, 90.00, 90.00 degrees
Space group Pm-3m (No. 221)
One atom of each set of equivalent atoms:
Li 0.000 0.000 0.000
Cu 0.000 0.000 0.500
Ru 0.500 0.500 0.500

The value obtained for the total energy is -0.14487 hartree per atom. Its total magnetization is 0.554 μB per formula unit. The energy of formation is 0.75 eV/atom.


No. 5
Li2CuRu: optimized geometry, GGA-PBE.

Cell lengths 2.6335, 2.6335, 26.7763 Å; angles 90.00, 90.00, 120.00 degrees
Space group R-3m (No. 166, hexagonal axes)
One atom of each set of equivalent atoms:
Li 0.0000 0.0000 0.2502
Cu 0.0000 0.0000 0.5000
Ru 0.0000 0.0000 0.0000

The value obtained for the total energy is -0.15418 hartree per atom. Its total magnetization is 0.202 μB per formula unit. The energy of formation is 0.10 eV/atom.


No. 6
Li2CuRu: optimized geometry, GGA-PBE.

Cell lengths 2.511, 4.495, 4.679 Å; angles 90.00, 90.05, 90.00 degrees
Space group Pm (No. 6)
One atom of each set of equivalent atoms:
Li 0.000 0.000 0.000
Li 0.498 0.500 0.851
Cu 0.996 0.500 0.370
Ru 0.498 0.000 0.489

The value obtained for the total energy is -0.15457 hartree per atom. Its total magnetization is 0.136 μB per formula unit. The energy of formation is 0.09 eV/atom.


No. 7
Li2CuRu: optimized geometry, GGA-PBE.

Cell lengths 2.6629, 2.6629, 27.7309 Å; angles 90.00, 90.00, 120.00 degrees
Space group R3m (No. 160, hexagonal axes)
One atom of each set of equivalent atoms:
Li 0.0000 0.0000 0.0000
Li 0.0000 0.0000 0.2371
Cu 0.0000 0.0000 0.4919
Ru 0.0000 0.0000 0.7471

The value obtained for the total energy is -0.15284 hartree per atom. Its total magnetization is 0.219 μB per formula unit. The energy of formation is 0.14 eV/atom.


No. 8
Li2CuRu: optimized geometry, GGA-PBE.

Cell lengths 9.048, 2.480, 4.705 Å; angles 90.00, 99.33, 90.00 degrees
Space group C2/m (No. 12)
One atom of each set of equivalent atoms:
Li 0.245 0.000 0.258
Cu 0.000 0.500 0.000
Ru 0.000 0.000 0.500

The value obtained for the total energy is -0.15616 hartree per atom. Its total magnetization is 0.000 μB per formula unit. The energy of formation is 0.05 eV/atom.


No. 9
Li2CuRu: optimized geometry, GGA-PBE.

Cell lengths 2.537, 4.564, 8.987 Å; angles 90.00, 90.00, 90.00 degrees
Space group Immm (No. 71)
One atom of each set of equivalent atoms:
Li 0.000 0.000 0.239
Cu 0.000 0.500 0.500
Ru 0.000 0.500 0.000

The value obtained for the total energy is -0.15523 hartree per atom. Its total magnetization is 0.000 μB per formula unit. The energy of formation is 0.08 eV/atom.


No. 10
Li2CuRu: optimized geometry, GGA-PBE.

Cell lengths 2.731, 4.375, 8.939 Å; angles 90.00, 90.00, 90.00 degrees
Space group Cmmm (No. 65)
One atom of each set of equivalent atoms:
Li 0.000 0.000 0.249
Cu 0.000 0.500 0.500
Ru 0.000 0.500 0.000

The value obtained for the total energy is -0.15504 hartree per atom. Its total magnetization is 0.000 μB per formula unit. The energy of formation is 0.08 eV/atom.


No. 11
Li2CuRu: optimized geometry, GGA-PBE.

Cell lengths 2.761, 4.409, 9.271 Å; angles 90.00, 90.00, 90.00 degrees
Space group Cmm2 (No. 35)
One atom of each set of equivalent atoms:
Li 0.000 0.000 0.000
Li 0.000 0.500 0.286
Cu 0.000 0.000 0.519
Ru 0.000 0.500 0.760

The value obtained for the total energy is -0.15190 hartree per atom. Its total magnetization is 0.000 μB per formula unit. The energy of formation is 0.17 eV/atom.


No. 12
Li2CuRu: optimized geometry, GGA-PBE.

Cell lengths 9.817, 2.475, 4.856 Å; angles 90.00, 117.65, 90.00 degrees
Space group Cm (No. 8)
One atom of each set of equivalent atoms:
Li 0.000 0.000 0.000
Li 0.238 0.000 0.934
Cu 0.493 0.000 0.481
Ru 0.254 0.500 0.452

The value obtained for the total energy is -0.15561 hartree per atom. Its total magnetization is 0.000 μB per formula unit. The energy of formation is 0.07 eV/atom.


Number 1: DOS(E_F) 2.431 states/eV per cell, V 53.2 Å³/cell, distance to the lowest polymorph of the same formula 10.64 kJ per mole of atoms. Number 2: DOS(E_F) 2.155 states/eV per cell, V 52.2 Å³/cell, distance to the lowest polymorph of the same formula 2.58 kJ per mole of atoms. Number 3: DOS(E_F) 11.824 states/eV per cell, V 197.8 Å³/cell, distance to the lowest polymorph of the same formula 30.51 kJ per mole of atoms. Number 4: DOS(E_F) 2.705 states/eV per cell, V 62.7 Å³/cell, distance to the lowest polymorph of the same formula 0.00 kJ per mole of atoms. Number 5: DOS(E_F) 9.869 states/eV per cell, V 160.8 Å³/cell, distance to the lowest polymorph of the same formula 5.18 kJ per mole of atoms. Number 6: DOS(E_F) 2.116 states/eV per cell, V 52.8 Å³/cell, distance to the lowest polymorph of the same formula 4.17 kJ per mole of atoms. Number 7: DOS(E_F) 5.731 states/eV per cell, V 170.3 Å³/cell, distance to the lowest polymorph of the same formula 8.70 kJ per mole of atoms. Number 8: DOS(E_F) 1.765 states/eV per cell, V 104.2 Å³/cell, distance to the lowest polymorph of the same formula 0.00 kJ per mole of atoms. Number 9: DOS(E_F) 1.889 states/eV per cell, V 104.1 Å³/cell, distance to the lowest polymorph of the same formula 2.44 kJ per mole of atoms. Number 10: DOS(E_F) 3.620 states/eV per cell, V 106.8 Å³/cell, distance to the lowest polymorph of the same formula 2.92 kJ per mole of atoms. Number 11: DOS(E_F) 4.620 states/eV per cell, V 112.9 Å³/cell, distance to the lowest polymorph of the same formula 11.16 kJ per mole of atoms. Number 12: DOS(E_F) 1.990 states/eV per cell, V 104.5 Å³/cell, distance to the lowest polymorph of the same formula 1.42 kJ per mole of atoms.